P.
First-principles (GGA-PBE) data for crystalline SiGeO2 at its relaxed geometry, as listed in Alexandria.

```
SiGeO2
1.0
5.3371 0.0000 0.0000
0.0000 5.3371 0.0000
2.6686 2.6686 3.7750
Ge Si O
2 2 4
Cartesian
0.0000 0.0000 0.0000
5.3371 2.6686 1.8875
2.6686 2.6686 0.0000
2.6686 5.3371 1.8875
2.6704 1.3343 0.9438
2.6667 4.0028 0.9438
4.0028 5.3352 2.8313
6.6714 5.3390 2.8313
```



Q.
First-principles (GGA-PBE) data for crystalline SiGeO2 at its relaxed geometry, as listed in Alexandria.

```
SiGeO2
1.0
1.5568 0.0000 8.5177
-0.7784 1.3482 8.5177
-0.7784 -1.3482 8.5177
Ge Si O
1 1 2
Cartesian
0.0000 0.0000 0.0000
0.0000 0.0000 12.7766
0.0000 0.0000 22.2042
0.0000 0.0000 3.3490
```



Relative energies with respect to the most stable structure, expressed in kJ/mol of atoms: P 22.9; Q 0.0.



P.
First-principles (GGA-PBE) data for crystalline SiGeO2 at its relaxed geometry, as listed in Alexandria.

```
SiGeO2
1.0
1.7480 0.0000 6.3017
-0.8740 1.5139 6.3017
-0.8740 -1.5139 6.3017
Ge Si O
1 1 2
Cartesian
0.0000 0.0000 9.4526
0.0000 0.0000 0.0000
0.0000 0.0000 17.2149
0.0000 0.0000 1.6904
```



Q.
First-principles (GGA-PBE) data for crystalline SiGeO2 at its relaxed geometry, as listed in Alexandria.

```
SiGeO2
1.0
0.0000 2.8659 2.8659
2.8659 0.0000 2.8659
2.8659 2.8659 0.0000
Ge Si O
1 1 2
Cartesian
2.8659 2.8659 2.8659
0.0000 0.0000 0.0000
1.4329 1.4329 1.4329
4.2988 4.2988 4.2988
```



Relative energies with respect to the most stable structure, expressed in kJ/mol of atoms: P 0.0; Q 72.6.